CoIr2Rh at its PBEsol-relaxed geometry, computed with SCAN.

Cell lengths 2.668, 3.714, 5.268 Å; angles 90.00, 90.00, 90.00 degrees
Positions (direct):
Co: 0.000 0.000 0.000
Ir: 0.000 0.000 0.498
Ir: 0.500 0.500 0.241
Rh: 0.500 0.500 0.756

Values from the calculation:
As for the energy above the most stable polymorph in this dataset: 0.038 eV/atom. The calculated total energy is -193.2 eV/cell. The calculation puts the formation energy at 0.01 eV/atom.

***

Li3Sc at its PBEsol-relaxed geometry, computed with SCAN.

Cell lengths 3.378, 4.939, 10.015 Å; angles 90.00, 90.00, 90.00 degrees
Positions (direct):
Li: 0.000 0.000 0.000
Li: 0.000 0.500 0.244
Li: 0.000 0.500 0.756
Li: 0.500 0.000 0.244
Li: 0.500 0.000 0.756
Li: 0.500 0.500 0.000
Sc: 0.000 0.000 0.500
Sc: 0.500 0.500 0.500

Values from the calculation:
As for the energy above the most stable polymorph in this dataset: 0.012 eV/atom. The calculated total energy is -41.9 eV/cell. The calculation puts the formation energy at 0.11 eV/atom.

***

TcP2Au at its PBEsol-relaxed geometry, computed with SCAN.

Cell lengths 3.424, 3.424, 5.018 Å; angles 90.00, 90.00, 90.00 degrees
Positions (direct):
Tc: 0.000 0.000 0.000
P: 0.000 0.000 0.482
P: 0.500 0.500 0.855
Au: 0.500 0.500 0.349

Values from the calculation:
As for the energy above the most stable polymorph in this dataset: 0.000 eV/atom. The calculated total energy is -124.6 eV/cell. The calculation puts the formation energy at 0.11 eV/atom.

***

LuPtF7 at its PBEsol-relaxed geometry, computed with SCAN.

Cell lengths 8.579, 5.349, 11.628 Å; angles 90.00, 117.39, 90.00 degrees
Positions (direct):
Lu: 0.185 0.239 0.264
Lu: 0.185 0.261 0.764
Lu: 0.815 0.739 0.236
Lu: 0.815 0.761 0.736
Pt: 0.271 0.741 0.043
Pt: 0.271 0.759 0.543
Pt: 0.729 0.241 0.457
Pt: 0.729 0.259 0.957
F: 0.018 0.747 0.948
F: 0.018 0.753 0.448
F: 0.031 0.586 0.733
F: 0.031 0.914 0.233
F: 0.252 0.551 0.178
F: 0.252 0.949 0.678
F: 0.274 0.068 0.456
F: 0.274 0.432 0.956
F: 0.277 0.041 0.138
F: 0.277 0.459 0.638
F: 0.297 0.561 0.413
F: 0.297 0.939 0.913
F: 0.475 0.223 0.358
F: 0.475 0.277 0.858
F: 0.525 0.723 0.142
F: 0.525 0.777 0.642
F: 0.703 0.061 0.087
F: 0.703 0.439 0.587
F: 0.723 0.541 0.362
F: 0.723 0.959 0.862
F: 0.726 0.568 0.044
F: 0.726 0.932 0.544
F: 0.748 0.051 0.322
F: 0.748 0.449 0.822
F: 0.969 0.086 0.767
F: 0.969 0.414 0.267
F: 0.982 0.247 0.552
F: 0.982 0.253 0.052

Values from the calculation:
The calculation puts the raw formation energy at -2811.7 meV per atom. The calculated total energy is -702.5 eV/cell.

***

Ca3Si4 at its PBEsol-relaxed geometry, computed with SCAN.

Cell lengths 8.461, 8.461, 14.729 Å; angles 90.00, 90.00, 120.00 degrees
Positions (direct):
Ca: 0.000 0.000 0.000
Ca: 0.000 0.000 0.250
Ca: 0.000 0.000 0.500
Ca: 0.000 0.000 0.750
Ca: 0.094 0.422 0.098
Ca: 0.094 0.422 0.402
Ca: 0.328 0.906 0.098
Ca: 0.328 0.906 0.402
Ca: 0.333 0.667 0.750
Ca: 0.422 0.328 0.598
Ca: 0.422 0.328 0.902
Ca: 0.578 0.672 0.098
Ca: 0.578 0.672 0.402
Ca: 0.667 0.333 0.250
Ca: 0.672 0.094 0.598
Ca: 0.672 0.094 0.902
Ca: 0.906 0.578 0.598
Ca: 0.906 0.578 0.902
Si: 0.055 0.674 0.250
Si: 0.091 0.354 0.609
Si: 0.091 0.354 0.891
Si: 0.263 0.909 0.609
Si: 0.263 0.909 0.891
Si: 0.326 0.382 0.250
Si: 0.333 0.667 0.250
Si: 0.333 0.667 0.556
Si: 0.333 0.667 0.944
Si: 0.354 0.263 0.109
Si: 0.354 0.263 0.391
Si: 0.382 0.055 0.750
Si: 0.618 0.945 0.250
Si: 0.646 0.737 0.609
Si: 0.646 0.737 0.891
Si: 0.667 0.333 0.056
Si: 0.667 0.333 0.444
Si: 0.667 0.333 0.750
Si: 0.674 0.618 0.750
Si: 0.737 0.091 0.109
Si: 0.737 0.091 0.391
Si: 0.909 0.646 0.109
Si: 0.909 0.646 0.391
Si: 0.945 0.326 0.750

Values from the calculation:
The calculation puts the raw formation energy at -488.9 meV per atom. The calculated total energy is -434.9 eV/cell.

***

TeMo3 at its PBEsol-relaxed geometry, computed with SCAN.

Cell lengths 3.299, 4.327, 9.092 Å; angles 90.00, 90.00, 90.00 degrees
Positions (direct):
Te: 0.000 0.000 0.000
Te: 0.500 0.500 0.500
Mo: 0.000 0.000 0.500
Mo: 0.000 0.500 0.251
Mo: 0.000 0.500 0.749
Mo: 0.500 0.000 0.249
Mo: 0.500 0.000 0.751
Mo: 0.500 0.500 0.000

Values from the calculation:
The calculation puts the raw formation energy at 310.6 meV per atom. As for the energy above the most stable polymorph in this dataset: 0.000 eV/atom. The calculated total energy is -281.3 eV/cell.